A crystal of CoSn2IrPt relaxed with PBEsol. Source: Alexandria, functional meta-GGA SCAN.

Properties
SG: P4/mmm, No. 123
Spin magnetization (μB/f.u.): 3.216
DFT formation energy (eV per atom): 1.0128

Geometry as extended XYZ:
```
5
Lattice="4.532 0.000 0.000 0.000 4.936 0.000 0.000 0.000 4.936" Properties=species:S:1:pos:R:3 pbc="T T T"
Co 2.266 0.000 0.000
Sn 0.000 2.468 0.000
Pt 0.000 0.000 0.000
Sn 0.000 0.000 2.468
Ir 2.266 2.468 2.468
```

A crystal of Mg3Cd2 relaxed with PBEsol. Source: Alexandria, functional meta-GGA SCAN.

Properties
E above lowest polymorph (meV/atom): 66.5
SG: R-3m, No. 166
Spin magnetization (μB/f.u.): 0.010
DFT formation energy (eV per atom): -0.0722

Geometry as extended XYZ:
```
5
Lattice="3.223 0.000 0.000 1.611 2.791 0.000 1.611 0.930 12.025" Properties=species:S:1:pos:R:3 pbc="T T T"
Cd 3.223 1.861 9.657
Mg 4.834 2.791 7.280
Mg 1.611 0.930 4.746
Cd 3.223 1.861 2.369
Mg 0.000 0.000 0.000
```

A crystal of Ba3NaPt relaxed with PBEsol. Source: Alexandria, functional meta-GGA SCAN.

Properties
SG: Pm-3m, No. 221
Spin magnetization (μB/f.u.): 0.013
DFT formation energy (eV per atom): -0.4675

Geometry as extended XYZ:
```
5
Lattice="6.204 0.000 0.000 0.000 6.204 0.000 0.000 0.000 6.204" Properties=species:S:1:pos:R:3 pbc="T T T"
Ba 0.000 0.000 3.102
Pt 0.000 0.000 0.000
Ba 0.000 3.102 0.000
Ba 3.102 0.000 0.000
Na 3.102 3.102 3.102
```

A crystal of SrLi2Ti6O14 relaxed with PBEsol. Source: Alexandria, functional meta-GGA SCAN.

Properties
Uncorrected energy (eV/atom): -12.402
SG: Cmce, No. 64
Spin magnetization (μB/f.u.): 0.000

Geometry as extended XYZ:
```
92
Lattice="9.977 -0.012 0.000 -3.750 9.245 0.000 0.000 0.000 11.407" Properties=species:S:1:pos:R:3 pbc="T T T"
O 7.100 3.517 4.314
O 5.990 1.088 10.018
O 6.167 5.960 5.535
Ti -0.738 2.091 1.322
O 3.199 7.941 8.670
O -1.925 8.014 0.000
O 1.337 5.894 2.838
Ti 5.379 4.754 9.843
Ti 4.011 9.134 10.085
O 5.666 8.403 9.860
O 3.176 7.908 2.966
O -0.818 5.730 1.462
O 3.050 1.325 8.441
O 1.333 5.817 0.000
Ti 2.215 0.100 1.322
O 5.627 1.333 7.093
Ti 3.961 9.096 4.139
O 5.619 1.389 1.462
Ti -0.722 2.152 7.268
Li 7.187 5.159 7.106
Sr 5.306 7.868 7.111
O 3.173 7.890 11.238
Li 4.073 0.542 10.005
O 6.164 5.942 8.670
Ti 2.376 6.708 4.382
Ti 0.847 4.480 1.565
O 7.045 3.504 9.946
O 6.141 5.909 2.966
Li 7.251 5.254 1.402
Ti 6.499 2.234 8.556
O 1.288 5.848 5.704
O 0.060 3.274 5.873
O 8.127 1.156 8.541
Ti -0.423 7.002 5.704
O 4.893 3.416 0.000
Ti 0.898 4.517 7.026
Ti 6.440 2.373 0.000
Ti 6.949 7.081 4.139
Sr 0.921 1.366 4.296
O 8.152 1.219 0.000
Li 2.089 8.596 7.106
O 0.063 3.291 2.737
O 3.012 1.283 5.873
Ti 6.964 7.142 10.085
O 6.126 5.899 11.238
O -1.245 6.017 4.242
O 1.264 5.785 8.570
O 4.939 3.386 5.704
Li -0.960 4.075 4.302
O 4.963 3.449 2.838
O -1.237 5.962 10.018
O 6.045 1.101 4.242
Li 4.138 0.637 4.302
O 2.607 3.866 1.373
O 0.600 7.900 4.314
O 3.620 5.368 10.035
O 3.053 1.343 0.169
O -1.970 8.045 5.704
Ti 3.851 2.525 7.026
Ti -0.272 7.000 2.852
Ti 6.591 2.371 2.852
O 0.506 0.751 7.076
O 0.182 8.132 7.165
O 0.608 7.845 9.946
O 3.214 7.951 5.535
O 4.889 3.340 8.570
O 8.201 1.265 2.866
O 0.085 3.325 8.441
Ti -0.214 6.860 0.000
O 3.028 1.292 2.737
Ti -0.365 6.862 8.556
Ti 2.391 6.769 9.843
Ti 2.266 0.137 7.268
O -1.900 8.077 2.866
O 0.236 8.146 1.389
O -0.873 5.716 7.093
O 0.101 3.334 0.169
Ti 5.329 4.717 4.382
Sr 2.192 3.251 10.000
Li 2.153 8.692 1.402
Li -1.024 3.980 10.005
Sr 4.034 5.983 1.407
O 5.720 8.482 4.331
O 3.674 5.448 4.156
Ti 6.650 2.232 5.704
O 7.463 3.272 1.389
O 8.197 1.189 5.704
O -1.974 7.968 8.541
O 2.553 3.786 7.251
Ti 3.836 2.464 1.565
O 0.560 0.831 1.548
O 7.471 3.216 7.165
```

Number 3 is which compound?
Ba3NaPt

The lowest spin magnetization belongs to which entry?
SrLi2Ti6O14